# AcGe2As (PBE, relaxed)
# - ΔE to the lowest computed polymorph: 165 meV per atom
# - Formation energy from the elements: -0.25 eV/atom
# - D(E_F): 2.6 states/eV/f.u.
# - Total moment: 0.00 μB/cell
data_AcGe2As
_chemical_formula_sum 'Ac1 Ge2 As1'
_cell_length_a 3.8534
_cell_length_b 3.8534
_cell_length_c 6.4801
_cell_angle_alpha 90.00
_cell_angle_beta 90.00
_cell_angle_gamma 90.00
_space_group_name_H-M_alt 'P 1'
_space_group_IT_number 1
_space_group_name_Hall 'P 1'
loop_
_atom_site_label
_atom_site_fract_x
_atom_site_fract_y
_atom_site_fract_z
_atom_site_occupancy
As1 0.5000 0.5000 0.0000 1
Ge1 0.0000 0.0000 0.1923 1
Ge2 0.0000 0.0000 0.8077 1
Ac1 0.5000 0.5000 0.5000 1